No. 1
Computed, not measured: crystalline LaAg2Pt2 at its relaxed geometry at the PBE-GGA level of DFT.

Summary:
Symmetry = P4/mbm (127)
Relative energy among the computed polymorphs = 22.1 kJ per mole of atoms
Total moment = 0.0 μB/f.u.
DFT formation energy = -0.33 eV/atom
Total DFT energy (no corrections) = -0.3580 Ry/atom

abc: 7.847 7.847 3.212
angles: 90.00 90.00 90.00
Element x y z (fractional)
La 0.000 0.000 0.000
La 0.500 0.500 0.000
Ag 0.122 0.378 0.000
Ag 0.378 0.878 0.000
Ag 0.622 0.122 0.000
Ag 0.878 0.622 0.000
Pt 0.175 0.675 0.500
Pt 0.325 0.175 0.500
Pt 0.675 0.825 0.500
Pt 0.825 0.325 0.500

No. 2
Computed, not measured: crystalline BF at its relaxed geometry at the PBE-GGA level of DFT.

Summary:
Symmetry = Pmmn (59)
Relative energy among the computed polymorphs = 18.9 kJ per mole of atoms
Raw formation energy = -1.13 eV per atom
Total moment = 0.0 μB/f.u.
Total DFT energy (no corrections) = -0.3971 Ry/atom

abc: 3.047 18.265 3.193
angles: 90.00 90.00 90.00
Element x y z (fractional)
B 0.250 0.000 0.000
B 0.250 0.250 0.328
B 0.250 0.500 0.000
B 0.750 0.000 0.000
B 0.750 0.500 0.000
B 0.750 0.750 0.672
F 0.250 0.184 0.500
F 0.250 0.316 0.500
F 0.250 0.750 0.917
F 0.750 0.250 0.083
F 0.750 0.684 0.500
F 0.750 0.816 0.500

Which value of relative energy among the computed polymorphs does entry 2 give?
18.9 kJ per mole of atoms